Density functional theory data (PBE-GGA) for a relaxed CrMo crystal.

Lattice parameters (Å, degrees): 3.0209 3.0209 6.0655 90.00 90.00 90.00
Space group P4/nmm (No. 129, origin choice 2)
One atom of each set of equivalent atoms:
1 Cr 0.2500 0.2500 0.1176
2 Mo 0.2500 0.2500 0.6394

Values from the calculation:
- Total energy: -10.145 eV/atom
- Energy of formation from the pure elements: 83 meV per atom